Entry 1:
Compound: Y2CrW
Source: Alexandria via LeMat-Bulk
Functional: PBEsol
Structure: relaxed

```
4
Lattice="0.000 3.405 3.405 3.405 0.000 3.405 3.405 3.405 0.000" Properties=species:S:1:pos:R:3 pbc="T T T"
Y 0.000 0.000 0.000
Y 1.702 1.702 1.702
Cr 5.107 5.107 5.107
W 3.405 3.405 3.405
```

## Properties
Symmetry ... F-43m (216)
Energy relative to the lowest polymorph listed for this composition ... 333.4 meV per atom
Electronic total energy ... -34.8 eV per cell
DFT formation energy ... 0.723 eV/atom

Entry 2:
Compound: Y2CrW
Source: Alexandria via LeMat-Bulk
Functional: PBEsol
Structure: relaxed

```
4
Lattice="-1.682 2.466 5.010 1.682 -2.466 5.010 1.682 2.466 -5.010" Properties=species:S:1:pos:R:3 pbc="T T T"
Y 0.000 0.000 0.000
Y 0.000 2.466 2.212
Cr 1.682 0.000 2.719
W 0.000 0.000 4.357
```

## Properties
Symmetry ... Imm2 (44)
Energy relative to the lowest polymorph listed for this composition ... 0.0 meV per atom
Electronic total energy ... -36.1 eV per cell
DFT formation energy ... 0.390 eV/atom

Entry 3:
Compound: Y2CrW
Source: Alexandria via LeMat-Bulk
Functional: PBEsol
Structure: relaxed

```
4
Lattice="1.565 0.904 9.679 -1.565 0.904 9.679 0.000 -1.807 9.679" Properties=species:S:1:pos:R:3 pbc="T T T"
Y 0.000 0.000 7.207
Y 0.000 0.000 21.831
Cr 0.000 0.000 14.519
W 0.000 0.000 0.000
```

## Properties
Symmetry ... R-3m (166)
Energy relative to the lowest polymorph listed for this composition ... 489.2 meV per atom
Electronic total energy ... -34.2 eV per cell
DFT formation energy ... 0.879 eV/atom

Entry 4:
Compound: YCrW2
Source: Alexandria via LeMat-Bulk
Functional: PBEsol
Structure: relaxed

```
4
Lattice="-1.919 1.919 4.745 1.919 -1.919 4.745 1.919 1.919 -4.745" Properties=species:S:1:pos:R:3 pbc="T T T"
Y 0.000 0.000 0.000
Cr 0.000 0.000 4.745
W 1.919 0.000 2.373
W 0.000 1.919 2.373
```

## Properties
Symmetry ... I4/mmm (139)
Energy relative to the lowest polymorph listed for this composition ... 238.6 meV per atom
Electronic total energy ... -41.7 eV per cell
DFT formation energy ... 0.734 eV/atom